The following is a GGA-PBE calculation of a relaxed structure of CsBeTe2Au, from the Alexandria database.

Cell: 7.916 6.969 8.750 Å, 90.00 113.60 90.00°
Atoms (fractional coordinates):
1 Cs 0.000 0.214 0.250
2 Cs 0.000 0.786 0.750
3 Be 0.500 0.500 0.000
4 Be 0.500 0.500 0.500
5 Te 0.255 0.298 0.939
6 Te 0.255 0.702 0.439
7 Te 0.745 0.298 0.561
8 Te 0.745 0.702 0.061
9 Au 0.500 0.327 0.250
10 Au 0.500 0.673 0.750

Calculated values
- VASP energy: -3.2641 eV per atom
- SG: P2/c, No. 13
- Magnetic moment: 0.00 μB/cell